# 1
The following is a PBE-GGA calculation of a geometry-optimized TlCoTeI2 structure, from Alexandria via LeMat-Bulk.

M_tot	0.4777	μB per atom
DOS at the Fermi energy	13.33	states/eV per cell
E_tot	-2.23	eV per atom
raw formation energy	0.913	eV per atom
relative energy among the computed polymorphs	436	kJ/mol of formula units

a = 6.030 Å, b = 6.030 Å, c = 5.852 Å
α = 90.00°, β = 90.00°, γ = 90.00°
Space group P4/mmm (No. 123)
Inequivalent atoms, fractional coordinates:
Tl (0.000, 0.000, 0.000) [1 per cell]
Co (0.500, 0.500, 0.500) [1 per cell]
Te (0.000, 0.000, 0.500) [1 per cell]
I (0.000, 0.500, 0.000) [2 per cell]



# 2
The following is a PBE-GGA calculation of a geometry-optimized Sr2Sb3Pd2 structure, from Alexandria via LeMat-Bulk.

M_tot	0.0000	μB per atom
DOS at the Fermi energy	5.99	states/eV per cell
E_tot	-4.42	eV per atom
raw formation energy	-0.691	eV per atom
relative energy among the computed polymorphs	46	kJ/mol of formula units

a = 11.377 Å, b = 4.545 Å, c = 7.626 Å
α = 90.00°, β = 111.25°, γ = 90.00°
Space group C2/m (No. 12)
Inequivalent atoms, fractional coordinates:
Sr (0.149, 0.000, 0.290) [4 per cell]
Sb (0.000, 0.500, 0.500) [2 per cell]
Sb (0.120, 0.500, 0.953) [4 per cell]
Pd (0.141, 0.000, 0.766) [4 per cell]



# 3
The following is a PBE-GGA calculation of a geometry-optimized SmDySiIr structure, from Alexandria via LeMat-Bulk.

M_tot	0.0000	μB per atom
DOS at the Fermi energy	4.74	states/eV per cell
E_tot	-6.73	eV per atom
raw formation energy	-0.829	eV per atom

a = 4.003 Å, b = 4.220 Å, c = 10.704 Å
α = 90.00°, β = 90.00°, γ = 90.00°
Space group Amm2 (No. 38)
Inequivalent atoms, fractional coordinates:
Sm (0.000, 0.000, 0.000) [2 per cell]
Dy (0.500, 0.000, 0.283) [2 per cell]
Si (0.500, 0.000, 0.581) [2 per cell]
Ir (0.000, 0.000, 0.720) [2 per cell]



# 4
The following is a PBE-GGA calculation of a geometry-optimized CePrPdPb structure, from Alexandria via LeMat-Bulk.

M_tot	0.3055	μB per atom
ΔH_f (0 K)	-10.82	kcal/mol of atoms
DOS at the Fermi energy	37.56	states/eV per cell
E_tot	-5.37	eV per atom

a = 7.621 Å, b = 7.621 Å, c = 7.621 Å
α = 90.00°, β = 90.00°, γ = 90.00°
Space group F-43m (No. 216)
Inequivalent atoms, fractional coordinates:
Ce (0.000, 0.000, 0.000) [4 per cell]
Pr (0.000, 0.000, 0.500) [4 per cell]
Pd (0.250, 0.250, 0.250) [4 per cell]
Pb (0.250, 0.250, 0.750) [4 per cell]



| no. | calculated volume (Å³ per atom) |
| --- | --- |
| 1 | 42.55 |
| 2 | 26.25 |
| 3 | 22.60 |
| 4 | 27.66 |